Below is a relaxed structure of Ba3TmIr2O9, with properties calculated at the PBE-GGA level.

Lattice parameters (Å, degrees): 5.867 5.867 7.192 90.00 90.00 120.00
Fractional positions:
O (0.825, 0.650, 0.678)
O (0.175, 0.350, 0.322)
O (0.825, 0.175, 0.678)
O (0.500, 0.500, 0.000)
O (0.350, 0.175, 0.678)
O (0.650, 0.825, 0.322)
O (0.175, 0.825, 0.322)
O (0.000, 0.500, 0.000)
O (0.500, 0.000, 0.000)
Ba (0.000, 0.000, 0.000)
Ba (0.333, 0.667, 0.671)
Ba (0.667, 0.333, 0.329)
Ir (0.667, 0.333, 0.840)
Ir (0.333, 0.667, 0.160)
Tm (0.000, 0.000, 0.500)

Results
Size of the total moment: 3.09 μB per formula unit
Formation energy without anion corrections: -2.0955 eV per atom
Theoretical density: 8.592 g cm⁻³
VASP energy: -6.9345 eV per atom